# KFeOs, optimized geometry, DFT GGA-PBE
data_KFeOs
_chemical_formula_sum 'K1 Fe1 Os1'
_space_group_name_H-M_alt 'P 3 m 1'
_space_group_IT_number 156
_space_group_name_Hall 'P 3 -2"'
_cell_length_a 2.7956
_cell_length_b 2.7956
_cell_length_c 7.8585
_cell_angle_alpha 90.00
_cell_angle_beta 90.00
_cell_angle_gamma 120.00
loop_
_atom_site_label
_atom_site_type_symbol
_atom_site_fract_x
_atom_site_fract_y
_atom_site_fract_z
_atom_site_occupancy
K1 K 0.0000 0.0000 0.0000 1
Fe1 Fe 0.3333 0.6667 0.6204 1
Os1 Os 0.6667 0.3333 0.3722 1
# Density in g/cm3: 8.903
# Energy relative to the elements in eV/atom: 1.009
# Excess energy over the best structure of this formula in the dataset in eV per atom: 0.1860

***

# K2FeOs2, optimized geometry, DFT GGA-PBE
data_K2FeOs2
_chemical_formula_sum 'K4 Fe2 Os4'
_space_group_name_H-M_alt 'I 4/m m m'
_space_group_IT_number 139
_space_group_name_Hall '-I 4 2'
_cell_length_a 3.7601
_cell_length_b 3.7601
_cell_length_c 15.3294
_cell_angle_alpha 90.00
_cell_angle_beta 90.00
_cell_angle_gamma 90.00
loop_
_atom_site_label
_atom_site_type_symbol
_atom_site_fract_x
_atom_site_fract_y
_atom_site_fract_z
_atom_site_occupancy
K1 K 0.0000 0.5000 0.2500 1
Fe1 Fe 0.0000 0.0000 0.0000 1
Os1 Os 0.0000 0.0000 0.4247 1
# Density in g/cm3: 7.884
# Energy relative to the elements in eV/atom: 1.972
# Excess energy over the best structure of this formula in the dataset in eV per atom: 0.9403

***

# K4FeOs, optimized geometry, DFT GGA-PBE
data_K4FeOs
_chemical_formula_sum 'K16 Fe4 Os4'
_space_group_name_H-M_alt 'F -4 3 m'
_space_group_IT_number 216
_space_group_name_Hall 'F -4 2 3'
_cell_length_a 9.2417
_cell_length_b 9.2417
_cell_length_c 9.2417
_cell_angle_alpha 90.00
_cell_angle_beta 90.00
_cell_angle_gamma 90.00
loop_
_atom_site_label
_atom_site_type_symbol
_atom_site_fract_x
_atom_site_fract_y
_atom_site_fract_z
_atom_site_occupancy
K1 K 0.1242 0.1242 0.1242 1
Fe1 Fe 0.0000 0.0000 0.5000 1
Os1 Os 0.2500 0.2500 0.7500 1
# Density in g/cm3: 3.387
# Energy relative to the elements in eV/atom: 1.698

***

# KFe4Os, optimized geometry, DFT GGA-PBE
data_KFe4Os
_chemical_formula_sum 'K4 Fe16 Os4'
_space_group_name_H-M_alt 'F -4 3 m'
_space_group_IT_number 216
_space_group_name_Hall 'F -4 2 3'
_cell_length_a 7.0419
_cell_length_b 7.0419
_cell_length_c 7.0419
_cell_angle_alpha 90.00
_cell_angle_beta 90.00
_cell_angle_gamma 90.00
loop_
_atom_site_label
_atom_site_type_symbol
_atom_site_fract_x
_atom_site_fract_y
_atom_site_fract_z
_atom_site_occupancy
K1 K 0.0000 0.0000 0.0000 1
Fe1 Fe 0.1238 0.1238 0.3762 1
Os1 Os 0.2500 0.2500 0.7500 1
# Density in g/cm3: 8.611
# Energy relative to the elements in eV/atom: 1.001

***

# K2FeOs2, optimized geometry, DFT GGA-PBE
data_K2FeOs2
_chemical_formula_sum 'K4 Fe2 Os4'
_space_group_name_H-M_alt 'P 4/m b m'
_space_group_IT_number 127
_space_group_name_Hall '-P 4 2ab'
_cell_length_a 6.1227
_cell_length_b 6.1227
_cell_length_c 5.8375
_cell_angle_alpha 90.00
_cell_angle_beta 90.00
_cell_angle_gamma 90.00
loop_
_atom_site_label
_atom_site_type_symbol
_atom_site_fract_x
_atom_site_fract_y
_atom_site_fract_z
_atom_site_occupancy
K1 K 0.1804 0.3196 0.0000 1
Fe1 Fe 0.0000 0.0000 0.5000 1
Os1 Os 0.1370 0.6370 0.5000 1
# Density in g/cm3: 7.808
# Energy relative to the elements in eV/atom: 1.032
# Excess energy over the best structure of this formula in the dataset in eV per atom: 0.0000

***

# K2FeOs2, optimized geometry, DFT GGA-PBE
data_K2FeOs2
_chemical_formula_sum 'K4 Fe2 Os4'
_space_group_name_H-M_alt 'P 4/m b m'
_space_group_IT_number 127
_space_group_name_Hall '-P 4 2ab'
_cell_length_a 9.6835
_cell_length_b 9.6835
_cell_length_c 2.4979
_cell_angle_alpha 90.00
_cell_angle_beta 90.00
_cell_angle_gamma 90.00
loop_
_atom_site_label
_atom_site_type_symbol
_atom_site_fract_x
_atom_site_fract_y
_atom_site_fract_z
_atom_site_occupancy
K1 K 0.1133 0.3867 0.0000 1
Fe1 Fe 0.0000 0.0000 0.0000 1
Os1 Os 0.1873 0.6873 0.5000 1
# Density in g/cm3: 7.295
# Energy relative to the elements in eV/atom: 2.332
# Excess energy over the best structure of this formula in the dataset in eV per atom: 1.3003

***

# KFeOs2Rh, optimized geometry, DFT GGA-PBE
data_KFeOs2Rh
_chemical_formula_sum 'K1 Fe1 Os2 Rh1'
_space_group_name_H-M_alt 'P 4/m m m'
_space_group_IT_number 123
_space_group_name_Hall '-P 4 2'
_cell_length_a 4.7144
_cell_length_b 4.7144
_cell_length_c 5.2983
_cell_angle_alpha 90.00
_cell_angle_beta 90.00
_cell_angle_gamma 90.00
loop_
_atom_site_label
_atom_site_type_symbol
_atom_site_fract_x
_atom_site_fract_y
_atom_site_fract_z
_atom_site_occupancy
K1 K 0.0000 0.0000 0.0000 1
Fe1 Fe 0.5000 0.5000 0.0000 1
Os1 Os 0.0000 0.5000 0.5000 1
Rh1 Rh 0.0000 0.0000 0.5000 1
# Density in g/cm3: 8.155
# Energy relative to the elements in eV/atom: 2.287

***

# KFeOsSe2, optimized geometry, DFT GGA-PBE
data_KFeOsSe2
_chemical_formula_sum 'K1 Fe1 Os1 Se2'
_space_group_name_H-M_alt 'P 4/m m m'
_space_group_IT_number 123
_space_group_name_Hall '-P 4 2'
_cell_length_a 4.7878
_cell_length_b 4.7878
_cell_length_c 6.2991
_cell_angle_alpha 90.00
_cell_angle_beta 90.00
_cell_angle_gamma 90.00
loop_
_atom_site_label
_atom_site_type_symbol
_atom_site_fract_x
_atom_site_fract_y
_atom_site_fract_z
_atom_site_occupancy
K1 K 0.0000 0.0000 0.0000 1
Fe1 Fe 0.5000 0.5000 0.0000 1
Os1 Os 0.0000 0.0000 0.5000 1
Se1 Se 0.0000 0.5000 0.5000 1
# Density in g/cm3: 5.096
# Formation energy without anion corrections in meV per atom: 1017

***

# KFeSnOs2, optimized geometry, DFT GGA-PBE
data_KFeSnOs2
_chemical_formula_sum 'K1 Fe1 Sn1 Os2'
_space_group_name_H-M_alt 'P 4/m m m'
_space_group_IT_number 123
_space_group_name_Hall '-P 4 2'
_cell_length_a 5.0133
_cell_length_b 5.0133
_cell_length_c 5.0089
_cell_angle_alpha 90.00
_cell_angle_beta 90.00
_cell_angle_gamma 90.00
loop_
_atom_site_label
_atom_site_type_symbol
_atom_site_fract_x
_atom_site_fract_y
_atom_site_fract_z
_atom_site_occupancy
K1 K 0.0000 0.0000 0.0000 1
Fe1 Fe 0.5000 0.5000 0.0000 1
Sn1 Sn 0.5000 0.5000 0.5000 1
Os1 Os 0.0000 0.5000 0.5000 1
# Density in g/cm3: 7.836
# Energy relative to the elements in eV/atom: 2.021

***

# K2TiFeOs, optimized geometry, DFT GGA-PBE
data_K2TiFeOs
_chemical_formula_sum 'K2 Ti1 Fe1 Os1'
_space_group_name_H-M_alt 'P 4/m m m'
_space_group_IT_number 123
_space_group_name_Hall '-P 4 2'
_cell_length_a 6.0789
_cell_length_b 6.0789
_cell_length_c 4.3647
_cell_angle_alpha 90.00
_cell_angle_beta 90.00
_cell_angle_gamma 90.00
loop_
_atom_site_label
_atom_site_type_symbol
_atom_site_fract_x
_atom_site_fract_y
_atom_site_fract_z
_atom_site_occupancy
K1 K 0.0000 0.5000 0.0000 1
Ti1 Ti 0.0000 0.0000 0.5000 1
Fe1 Fe 0.5000 0.5000 0.0000 1
Os1 Os 0.5000 0.5000 0.5000 1
# Density in g/cm3: 3.831
# Energy relative to the elements in eV/atom: 1.802

***

# KVFe2Os, optimized geometry, DFT GGA-PBE
data_KVFe2Os
_chemical_formula_sum 'K1 V1 Fe2 Os1'
_space_group_name_H-M_alt 'P 4/m m m'
_space_group_IT_number 123
_space_group_name_Hall '-P 4 2'
_cell_length_a 4.6161
_cell_length_b 4.6161
_cell_length_c 4.5594
_cell_angle_alpha 90.00
_cell_angle_beta 90.00
_cell_angle_gamma 90.00
loop_
_atom_site_label
_atom_site_type_symbol
_atom_site_fract_x
_atom_site_fract_y
_atom_site_fract_z
_atom_site_occupancy
K1 K 0.0000 0.0000 0.0000 1
V1 V 0.5000 0.5000 0.5000 1
Fe1 Fe 0.0000 0.5000 0.5000 1
Os1 Os 0.5000 0.5000 0.0000 1
# Density in g/cm3: 6.699
# Energy relative to the elements in eV/atom: 1.323

***

# KFe3P, optimized geometry, DFT GGA-PBE
data_KFe3P
_chemical_formula_sum 'K1 Fe3 P1'
_space_group_name_H-M_alt 'P m -3 m'
_space_group_IT_number 221
_space_group_name_Hall '-P 4 2 3'
_cell_length_a 4.4952
_cell_length_b 4.4952
_cell_length_c 4.4952
_cell_angle_alpha 90.00
_cell_angle_beta 90.00
_cell_angle_gamma 90.00
loop_
_atom_site_label
_atom_site_type_symbol
_atom_site_fract_x
_atom_site_fract_y
_atom_site_fract_z
_atom_site_occupancy
K1 K 0.0000 0.0000 0.0000 1
Fe1 Fe 0.0000 0.5000 0.5000 1
P1 P 0.5000 0.5000 0.5000 1
# Density in g/cm3: 4.344
# Energy relative to the elements in eV/atom: 0.568
# Excess energy over the best structure of this formula in the dataset in eV per atom: 0.0000